Below is an optimized crystal structure of SrGaCu2S4, with properties calculated at the PBE level.

Formation energy without anion corrections = -0.83 eV/atom
Theoretical density = 4243 kg/m³
Magnetic moment = 0.00 μB per formula unit
Calculated total energy = -4.503 eV/atom

Cell and atoms, written as POSCAR:
```
SrGaCu2S4
1.0
-4.906 1.095 3.968
-0.033 -1.964 5.670
-0.804 5.291 2.714
Sr Ga Cu S
1 1 2 4
Direct
0.000 0.000 0.000
0.000 0.500 0.500
0.500 0.749 0.251
0.500 0.251 0.749
0.592 0.531 0.877
0.408 0.123 0.469
0.000 0.469 0.123
0.000 0.877 0.531
```